Record 1
# Rb2Cr2GeSe6 | the Alexandria database | PBE-GGA | optimized geometry
# Formation energy without anion corrections (meV per atom): -680
# DOS at the Fermi energy (states/eV/cell): 4.22
data_Rb2Cr2GeSe6
_chemical_formula_sum 'Rb4 Cr4 Ge2 Se12'
_symmetry_space_group_name_H-M 'C 1 2/m 1'
_symmetry_Int_Tables_number 12
_symmetry_space_group_name_Hall '-C 2y'
_cell_length_a 6.502
_cell_length_b 11.344
_cell_length_c 8.388
_cell_angle_alpha 90.00
_cell_angle_beta 105.16
_cell_angle_gamma 90.00
loop_
_atom_site_label
_atom_site_type_symbol
_atom_site_fract_x
_atom_site_fract_y
_atom_site_fract_z
_atom_site_occupancy
Rb1 Rb 0.000 0.166 0.000 1
Cr1 Cr 0.000 0.332 0.500 1
Ge1 Ge 0.000 0.000 0.500 1
Se1 Se 0.219 0.500 0.670 1
Se2 Se 0.227 0.168 0.671 1

***

Record 2
# RbCrGeSe4 | the Alexandria database | PBE-GGA | optimized geometry
# Formation energy without anion corrections (meV per atom): -515
# DOS at the Fermi energy (states/eV/cell): 1.93
data_RbCrGeSe4
_chemical_formula_sum 'Rb2 Cr2 Ge2 Se8'
_symmetry_space_group_name_H-M 'P 1 21/m 1'
_symmetry_Int_Tables_number 11
_symmetry_space_group_name_Hall '-P 2yb'
_cell_length_a 6.635
_cell_length_b 7.022
_cell_length_c 8.673
_cell_angle_alpha 90.00
_cell_angle_beta 92.76
_cell_angle_gamma 90.00
loop_
_atom_site_label
_atom_site_type_symbol
_atom_site_fract_x
_atom_site_fract_y
_atom_site_fract_z
_atom_site_occupancy
Rb1 Rb 0.238 0.250 0.065 1
Cr1 Cr 0.158 0.750 0.457 1
Ge1 Ge 0.350 0.250 0.644 1
Se1 Se 0.091 0.007 0.676 1
Se2 Se 0.349 0.750 0.196 1
Se3 Se 0.498 0.250 0.406 1

***

Record 3
# Rb2CrGeSe4 | the Alexandria database | PBE-GGA | optimized geometry
# Formation energy without anion corrections (meV per atom): -707
# DOS at the Fermi energy (states/eV/cell): 4.25
data_Rb2CrGeSe4
_chemical_formula_sum 'Rb16 Cr8 Ge8 Se32'
_symmetry_space_group_name_H-M 'F d d d'
_symmetry_Int_Tables_number 70
_cell_length_a 6.899
_cell_length_b 13.731
_cell_length_c 23.626
_cell_angle_alpha 90.00
_cell_angle_beta 90.00
_cell_angle_gamma 90.00
loop_
_symmetry_equiv_pos_as_xyz
'x,y,z'
'-x,-y,-z'
'-x+1/4,-y+1/4,z'
'x+1/4,y+1/4,-z'
'x,-y+1/4,-z+1/4'
'-x,y+1/4,z+1/4'
'-x+1/4,y,-z+1/4'
'x+1/4,-y,z+1/4'
'x,y+1/2,z+1/2'
'-x,-y+1/2,-z+1/2'
'-x+1/4,-y+3/4,z+1/2'
'x+1/4,y+3/4,-z+1/2'
'x,-y+3/4,-z+3/4'
'-x,y+3/4,z+3/4'
'-x+1/4,y+1/2,-z+3/4'
'x+1/4,-y+1/2,z+3/4'
'x+1/2,y,z+1/2'
'-x+1/2,-y,-z+1/2'
'-x+3/4,-y+1/4,z+1/2'
'x+3/4,y+1/4,-z+1/2'
'x+1/2,-y+1/4,-z+3/4'
'-x+1/2,y+1/4,z+3/4'
'-x+3/4,y,-z+3/4'
'x+3/4,-y,z+3/4'
'x+1/2,y+1/2,z'
'-x+1/2,-y+1/2,-z'
'-x+3/4,-y+3/4,z'
'x+3/4,y+3/4,-z'
'x+1/2,-y+3/4,-z+1/4'
'-x+1/2,y+3/4,z+1/4'
'-x+3/4,y+1/2,-z+1/4'
'x+3/4,-y+1/2,z+1/4'
loop_
_atom_site_label
_atom_site_type_symbol
_atom_site_fract_x
_atom_site_fract_y
_atom_site_fract_z
_atom_site_occupancy
Rb1 Rb 0.125 0.125 0.305 1
Cr1 Cr 0.125 0.125 0.125 1
Ge1 Ge 0.125 0.125 0.625 1
Se1 Se 0.104 0.284 0.427 1

***

Record 4
# RbCrSn2Ge | the Alexandria database | PBE-GGA | optimized geometry
# DOS at the Fermi energy (states/eV/cell): 7.45
# Electronic total energy (eV/atom): -3.87
data_RbCrSn2Ge
_chemical_formula_sum 'Rb1 Cr1 Sn2 Ge1'
_symmetry_space_group_name_H-M 'P 4/m m m'
_symmetry_Int_Tables_number 123
_symmetry_space_group_name_Hall '-P 4 2'
_cell_length_a 5.625
_cell_length_b 5.625
_cell_length_c 4.759
_cell_angle_alpha 90.00
_cell_angle_beta 90.00
_cell_angle_gamma 90.00
loop_
_atom_site_label
_atom_site_type_symbol
_atom_site_fract_x
_atom_site_fract_y
_atom_site_fract_z
_atom_site_occupancy
Rb1 Rb 0.000 0.000 0.000 1
Cr1 Cr 0.500 0.500 0.000 1
Sn1 Sn 0.000 0.500 0.500 1
Ge1 Ge 0.500 0.500 0.500 1

***

Record 5
# Rb2CrGeTe4 | the Alexandria database | PBE-GGA | optimized geometry
# Formation energy without anion corrections (meV per atom): -376
# DOS at the Fermi energy (states/eV/cell): 21.97
data_Rb2CrGeTe4
_chemical_formula_sum 'Rb8 Cr4 Ge4 Te16'
_symmetry_space_group_name_H-M 'I m m a'
_symmetry_Int_Tables_number 74
_symmetry_space_group_name_Hall '-I 2b 2'
_cell_length_a 8.578
_cell_length_b 9.638
_cell_length_c 12.823
_cell_angle_alpha 90.00
_cell_angle_beta 90.00
_cell_angle_gamma 90.00
loop_
_atom_site_label
_atom_site_type_symbol
_atom_site_fract_x
_atom_site_fract_y
_atom_site_fract_z
_atom_site_occupancy
Rb1 Rb 0.000 0.000 0.000 1
Rb2 Rb 0.250 0.250 0.250 1
Cr1 Cr 0.250 0.250 0.750 1
Ge1 Ge 0.000 0.000 0.500 1
Te1 Te 0.000 0.059 0.735 1
Te2 Te 0.217 0.250 0.533 1

***

Record 6
# CrReGe | the Alexandria database | PBE-GGA | optimized geometry
# DOS at the Fermi energy (states/eV/cell): 3.31
# Electronic total energy (eV/atom): -8.63
data_CrReGe
_chemical_formula_sum 'Cr1 Re1 Ge1'
_symmetry_space_group_name_H-M 'P 3 m 1'
_symmetry_Int_Tables_number 156
_symmetry_space_group_name_Hall 'P 3 -2"'
_cell_length_a 4.2884
_cell_length_b 4.2884
_cell_length_c 2.7072
_cell_angle_alpha 90.00
_cell_angle_beta 90.00
_cell_angle_gamma 120.00
loop_
_atom_site_label
_atom_site_type_symbol
_atom_site_fract_x
_atom_site_fract_y
_atom_site_fract_z
_atom_site_occupancy
Cr1 Cr 0.0000 0.0000 0.0000 1
Re1 Re 0.6667 0.3333 0.5104 1
Ge1 Ge 0.3333 0.6667 0.5050 1